A plane-wave DFT calculation with PBE was carried out for a relaxed structure of Cr4Ni5Ir2.

```
Cr4Ni5Ir2
1.0
-4.6608 -1.0145 -5.3611
2.2066 -2.4742 -3.6737
1.0551 -3.9531 2.1200
Cr Ir Ni
4 2 5
Direct
0.8044 0.6899 0.8753
0.6088 0.2757 0.5752
0.4674 0.8300 0.3849
0.1357 0.1087 0.3991
0.7994 0.0405 0.2473
0.0590 0.9707 0.8918
0.1916 0.3980 0.9803
0.1873 0.5686 0.4366
0.8341 0.5034 0.4252
0.4689 0.5598 0.9427
0.4436 0.0547 0.8416
```

***

A plane-wave DFT calculation with PBE was carried out for a relaxed structure of Zn5NiPd4.

```
Zn5NiPd4
1.0
-0.5720 -2.9702 0.6555
0.6051 -0.7648 -2.9373
14.1269 -1.9652 3.4221
Pd Zn Ni
4 5 1
Direct
0.0000 0.0000 0.8074
0.0000 0.0000 0.6024
0.0000 0.0000 0.3976
0.0000 0.0000 0.1926
0.5000 0.5000 0.9099
0.5000 0.5000 0.2951
0.5000 0.5000 0.5000
0.5000 0.5000 0.0901
0.5000 0.5000 0.7049
0.0000 0.0000 0.0000
```

***

A plane-wave DFT calculation with PBE was carried out for a relaxed structure of Tb3Y2Tc2.

```
Tb3Y2Tc2
1.0
3.8323 -0.0010 -0.8585
-2.3651 5.6022 -1.5720
-0.1015 0.1135 8.5131
Tc Tb Y
2 3 2
Direct
0.0414 0.8675 0.2147
0.9586 0.1325 0.7853
0.8062 0.1822 0.4299
0.5000 0.0000 0.0000
0.1938 0.8178 0.5701
0.6506 0.4863 0.8150
0.3494 0.5137 0.1850
```

***

A plane-wave DFT calculation with PBE was carried out for a relaxed structure of La5Nd4Th2.

```
La5Nd4Th2
1.0
3.5496 0.0000 0.0000
0.0000 9.1449 0.1867
0.0000 0.5945 12.0795
La Nd Th
5 4 2
Direct
0.0000 0.5000 0.0000
0.0000 0.1957 0.8249
0.0000 0.5864 0.7145
0.0000 0.8043 0.1751
0.0000 0.4136 0.2855
0.5000 0.3003 0.5489
0.5000 0.6997 0.4511
0.5000 0.8471 0.8975
0.5000 0.1529 0.1025
0.0000 0.0491 0.3698
0.0000 0.9509 0.6302
```

***

Number 1: energy of formation 2.30 kcal/mol of atoms. Number 2: energy of formation -11.10 kcal/mol of atoms. Number 3: energy of formation -1.11 kcal/mol of atoms. Number 4: energy of formation 2.55 kcal/mol of atoms.